# 1
# AcGa4Pt4 (PBE, optimized geometry)
# * formation energy: -0.7875 eV per atom
# * space-group type: P4_2/nmc (137)
data_AcGa4Pt4
_cell_length_a 6.3909
_cell_length_b 6.3909
_cell_length_c 8.4930
_cell_angle_alpha 90.00
_cell_angle_beta 90.00
_cell_angle_gamma 90.00
_space_group_name_H-M_alt 'P 1'
_space_group_IT_number 1
_space_group_name_Hall 'P 1'
loop_
_atom_site_label
_atom_site_fract_x
_atom_site_fract_y
_atom_site_fract_z
_atom_site_occupancy
Ac1 0.2500 0.7500 0.2500 1
Ac2 0.7500 0.2500 0.7500 1
Ga1 0.0120 0.2500 0.1329 1
Ga2 0.2500 0.0120 0.6329 1
Ga3 0.2500 0.4880 0.6329 1
Ga4 0.4880 0.2500 0.1329 1
Ga5 0.5120 0.7500 0.8671 1
Ga6 0.7500 0.5120 0.3671 1
Ga7 0.7500 0.9880 0.3671 1
Ga8 0.9880 0.7500 0.8671 1
Pt1 0.0373 0.2500 0.4350 1
Pt2 0.2500 0.0373 0.9350 1
Pt3 0.2500 0.4627 0.9350 1
Pt4 0.4627 0.2500 0.4350 1
Pt5 0.5373 0.7500 0.5650 1
Pt6 0.7500 0.5373 0.0650 1
Pt7 0.7500 0.9627 0.0650 1
Pt8 0.9627 0.7500 0.5650 1



# 2
# GaCu2Ge (PBE, optimized geometry)
# * offset from the most stable computed form: 19 meV per atom
# * formation energy: 0.0902 eV per atom
# * space-group type: P4/mmm (123)
data_GaCu2Ge
_cell_length_a 3.8580
_cell_length_b 3.8580
_cell_length_c 3.8802
_cell_angle_alpha 90.00
_cell_angle_beta 90.00
_cell_angle_gamma 90.00
_space_group_name_H-M_alt 'P 1'
_space_group_IT_number 1
_space_group_name_Hall 'P 1'
loop_
_atom_site_label
_atom_site_fract_x
_atom_site_fract_y
_atom_site_fract_z
_atom_site_occupancy
Ga1 0.0000 0.0000 0.0000 1
Cu1 0.0000 0.5000 0.5000 1
Cu2 0.5000 0.0000 0.5000 1
Ge1 0.5000 0.5000 0.0000 1



Number 1: density of states at the Fermi level 8.83 states/eV per cell, M_tot 0.00 μB per formula unit, VASP energy -5.2741 eV/atom. Number 2: density of states at the Fermi level 1.41 states/eV per cell, M_tot 0.00 μB per formula unit, VASP energy -3.8689 eV/atom.